MgGeRu2 | PBE-GGA | optimized geometry

Cell: 2.865 4.341 10.868 Å, 90.00 90.00 90.00°
Space group Immm (No. 71)
One atom of each set of equivalent atoms:
Mg  0.000  0.000  0.000 [2 per cell]
Ge  0.000  0.000  0.500 [2 per cell]
Ru  0.000  0.000  0.285 [4 per cell]

Output
The calculation puts the energy of formation from the pure elements at 416 meV per atom. Its total moment is 0.000 μB/f.u. The total energy is -5.78 eV per atom.